1.
SmHfAlZn: optimized geometry, GGA-PBE.

Results
size of the total moment	0.00	Bohr magnetons per cell
total energy	-5.135	eV per atom

Cell: 4.931 4.931 4.931 Å, 60.00 60.00 60.00°
Atoms (fractional coordinates):
Sm (0.000, 0.000, 0.000)
Hf (0.500, 0.500, 0.500)
Al (0.750, 0.750, 0.750)
Zn (0.250, 0.250, 0.250)


2.
ZnFeH: optimized geometry, GGA-PBE.

Results
size of the total moment	2.03	Bohr magnetons per cell
E above lowest polymorph	120	meV/atom

Cell: 4.925 4.925 4.925 Å, 150.18 150.18 42.67°
Atoms (fractional coordinates):
Zn (0.000, 0.000, 0.000)
Fe (0.719, 0.719, 0.000)
H (0.268, 0.268, 0.000)


3.
MgIn2PdPb: optimized geometry, GGA-PBE.

Results
size of the total moment	0.00	Bohr magnetons per cell
total energy	-3.299	eV per atom

Cell: 5.170 5.170 5.060 Å, 90.00 90.00 90.00°
Atoms (fractional coordinates):
Mg (0.000, 0.000, 0.000)
In (0.000, 0.500, 0.500)
In (0.500, 0.000, 0.500)
Pd (0.000, 0.000, 0.500)
Pb (0.500, 0.500, 0.000)